Entry 1:
First-principles (meta-GGA SCAN) data for Y2Hg2O5 at its PBEsol-relaxed geometry, as listed in the Alexandria database.

abc: 3.524 7.715 11.228
angles: 81.85 88.80 94.48
Fractional positions:
Y 0.286 0.827 0.815
Y 0.761 0.612 0.607
Y 0.714 0.173 0.185
Y 0.239 0.388 0.393
Hg 0.753 0.625 0.106
Hg 0.896 0.169 0.667
Hg 0.104 0.831 0.333
Hg 0.247 0.375 0.894
O 0.763 0.745 0.935
O 0.797 0.848 0.687
O 0.283 0.652 0.479
O 0.673 0.884 0.207
O 0.327 0.116 0.793
O 0.203 0.152 0.313
O 0.237 0.255 0.065
O 0.243 0.547 0.736
O 0.717 0.348 0.521
O 0.757 0.453 0.264

Summary:
- Crystal system: triclinic
- E_form (uncorrected): -20.1 eV per formula unit
- SG: P-1, No. 2
- Distance to the lowest polymorph of the same formula: 0 meV/atom

***

Entry 2:
First-principles (meta-GGA SCAN) data for Y2Hg2O5 at its PBEsol-relaxed geometry, as listed in the Alexandria database.

abc: 3.534 11.754 12.999
angles: 90.00 90.00 90.00
Fractional positions:
Y 0.750 0.966 0.672
Y 0.750 0.784 0.000
Y 0.250 0.716 0.500
Y 0.250 0.534 0.172
Y 0.750 0.466 0.672
Y 0.750 0.284 0.000
Y 0.250 0.216 0.500
Y 0.250 0.034 0.172
Hg 0.750 0.997 0.403
Hg 0.750 0.753 0.269
Hg 0.250 0.747 0.769
Hg 0.250 0.503 0.903
Hg 0.750 0.497 0.403
Hg 0.750 0.253 0.269
Hg 0.250 0.247 0.769
Hg 0.250 0.003 0.903
O 0.750 0.940 0.235
O 0.250 0.901 0.047
O 0.750 0.875 0.836
O 0.250 0.849 0.625
O 0.750 0.810 0.437
O 0.250 0.690 0.937
O 0.750 0.651 0.125
O 0.250 0.625 0.336
O 0.750 0.599 0.547
O 0.250 0.560 0.735
O 0.750 0.440 0.235
O 0.250 0.401 0.047
O 0.750 0.375 0.836
O 0.250 0.349 0.625
O 0.750 0.310 0.437
O 0.250 0.190 0.937
O 0.750 0.151 0.125
O 0.250 0.125 0.336
O 0.750 0.099 0.547
O 0.250 0.060 0.735

Summary:
- Crystal system: orthorhombic
- E_form (uncorrected): -20.1 eV per formula unit
- SG: Pnnm, No. 58
- Distance to the lowest polymorph of the same formula: 3 meV/atom

***

Entry 3:
First-principles (meta-GGA SCAN) data for ZnHgO2 at its PBEsol-relaxed geometry, as listed in the Alexandria database.

abc: 4.981 4.981 5.823
angles: 115.32 115.32 90.00
Fractional positions:
Zn 0.750 0.250 0.500
Zn 0.500 0.500 0.000
Hg 0.250 0.750 0.500
Hg 0.000 0.000 0.000
O 0.822 0.375 0.250
O 0.428 0.875 0.250
O 0.625 0.572 0.750
O 0.125 0.178 0.750

Summary:
- Crystal system: tetragonal
- E_form (uncorrected): -3.5 eV per formula unit
- SG: I-42d, No. 122

***

Entry 4:
First-principles (meta-GGA SCAN) data for ZnHgO3 at its PBEsol-relaxed geometry, as listed in the Alexandria database.

abc: 4.077 4.077 4.077
angles: 90.00 90.00 90.00
Fractional positions:
Zn 0.500 0.500 0.500
Hg 0.000 0.000 0.000
O 0.000 0.500 0.000
O 0.000 0.000 0.500
O 0.500 0.000 0.000

Summary:
- Crystal system: cubic
- E_form (uncorrected): 2.0 eV per formula unit
- SG: Pm-3m, No. 221

***

Entry 5:
First-principles (meta-GGA SCAN) data for Zr2Hg2O at its PBEsol-relaxed geometry, as listed in the Alexandria database.

abc: 5.188 5.998 5.998
angles: 90.00 90.00 90.00
Fractional positions:
O 0.000 0.000 0.000
O 0.000 0.500 0.500
Hg 0.500 0.163 0.663
Hg 0.500 0.663 0.837
Hg 0.500 0.837 0.337
Hg 0.500 0.337 0.163
Zr 0.000 0.324 0.824
Zr 0.000 0.824 0.676
Zr 0.000 0.676 0.176
Zr 0.000 0.176 0.324

Summary:
- Crystal system: tetragonal
- E_form (uncorrected): -6.2 eV per formula unit
- SG: P4/mbm, No. 127

***

Entry 6:
First-principles (meta-GGA SCAN) data for Zr3HgO at its PBEsol-relaxed geometry, as listed in the Alexandria database.

abc: 4.428 4.428 4.428
angles: 90.00 90.00 90.00
Fractional positions:
O 0.000 0.000 0.000
Hg 0.500 0.500 0.500
Zr 0.000 0.500 0.000
Zr 0.000 0.000 0.500
Zr 0.500 0.000 0.000

Summary:
- Crystal system: cubic
- E_form (uncorrected): -6.4 eV per formula unit
- SG: Pm-3m, No. 221

***

Entry 7:
First-principles (meta-GGA SCAN) data for ZrHg3O at its PBEsol-relaxed geometry, as listed in the Alexandria database.

abc: 5.515 5.515 5.515
angles: 90.00 90.00 90.00
Fractional positions:
O 0.500 0.500 0.500
Hg 0.000 0.500 0.000
Hg 0.000 0.000 0.500
Hg 0.500 0.000 0.000
Zr 0.000 0.000 0.000

Summary:
- Crystal system: cubic
- E_form (uncorrected): 4.6 eV per formula unit
- SG: Pm-3m, No. 221
- Distance to the lowest polymorph of the same formula: 499 meV/atom

***

Entry 8:
First-principles (meta-GGA SCAN) data for ZrHg3O at its PBEsol-relaxed geometry, as listed in the Alexandria database.

abc: 4.645 4.645 4.645
angles: 90.00 90.00 90.00
Fractional positions:
O 0.000 0.000 0.000
Hg 0.000 0.500 0.000
Hg 0.000 0.000 0.500
Hg 0.500 0.000 0.000
Zr 0.500 0.500 0.500

Summary:
- Crystal system: cubic
- E_form (uncorrected): 2.1 eV per formula unit
- SG: Pm-3m, No. 221
- Distance to the lowest polymorph of the same formula: 0 meV/atom

***

Entry 9:
First-principles (meta-GGA SCAN) data for Hg4Os at its PBEsol-relaxed geometry, as listed in the Alexandria database.

abc: 4.159 5.226 5.226
angles: 80.89 66.55 66.55
Fractional positions:
Hg 0.393 0.814 0.399
Hg 0.607 0.186 0.601
Hg 0.792 0.601 0.814
Hg 0.208 0.399 0.186
Os 0.000 0.000 0.000

Summary:
- Crystal system: tetragonal
- DFT formation energy: 0.783 eV per atom
- SG: I4/m, No. 87

***

Entry 10:
First-principles (meta-GGA SCAN) data for Hg3Os at its PBEsol-relaxed geometry, as listed in the Alexandria database.

abc: 2.938 5.514 5.514
angles: 116.92 100.23 100.23
Fractional positions:
Hg 0.500 0.500 0.500
Hg 0.000 0.500 0.000
Hg 0.000 0.000 0.500
Os 0.500 0.000 0.000

Summary:
- Crystal system: trigonal
- DFT formation energy: 0.821 eV per atom
- SG: R-3m, No. 166
- Distance to the lowest polymorph of the same formula: 116 meV/atom

***

Entry 11:
First-principles (meta-GGA SCAN) data for HgOs at its PBEsol-relaxed geometry, as listed in the Alexandria database.

abc: 2.862 2.862 9.300
angles: 90.00 90.00 120.00
Fractional positions:
Hg 0.000 0.000 0.000
Hg 0.000 0.000 0.500
Os 0.667 0.333 0.750
Os 0.333 0.667 0.250

Summary:
- Crystal system: hexagonal
- DFT formation energy: 1.019 eV per atom
- SG: P6_3/mmc, No. 194
- Distance to the lowest polymorph of the same formula: 0 meV/atom

***

Entry 12:
First-principles (meta-GGA SCAN) data for Hg2Os at its PBEsol-relaxed geometry, as listed in the Alexandria database.

abc: 2.921 2.921 7.281
angles: 90.00 90.00 120.00
Fractional positions:
Hg 0.667 0.333 0.318
Hg 0.333 0.667 0.682
Os 0.000 0.000 0.000

Summary:
- Crystal system: trigonal
- DFT formation energy: 0.876 eV per atom
- SG: P-3m1, No. 164

***

Entry 13:
First-principles (meta-GGA SCAN) data for Hg3Os at its PBEsol-relaxed geometry, as listed in the Alexandria database.

abc: 2.830 2.869 11.218
angles: 90.00 90.00 119.55
Fractional positions:
Hg 0.000 0.000 0.721
Hg 0.000 0.000 0.279
Hg 0.500 0.000 0.000
Os 0.500 0.000 0.500

Summary:
- Crystal system: orthorhombic
- DFT formation energy: 0.704 eV per atom
- SG: Cmmm, No. 65
- Distance to the lowest polymorph of the same formula: 0 meV/atom

***

Entry 14:
First-principles (meta-GGA SCAN) data for HgOs at its PBEsol-relaxed geometry, as listed in the Alexandria database.

abc: 4.219 4.219 6.907
angles: 90.00 90.00 120.00
Fractional positions:
Hg 0.667 0.333 0.001
Hg 0.333 0.667 0.501
Os 0.667 0.333 0.628
Os 0.333 0.667 0.128

Summary:
- Crystal system: hexagonal
- DFT formation energy: 2.474 eV per atom
- SG: P6_3mc, No. 186
- Distance to the lowest polymorph of the same formula: 1456 meV/atom

***

Entry 15:
First-principles (meta-GGA SCAN) data for Hg3Os at its PBEsol-relaxed geometry, as listed in the Alexandria database.

abc: 4.064 4.064 5.339
angles: 112.37 112.37 90.00
Fractional positions:
Hg 0.250 0.750 0.500
Hg 0.750 0.250 0.500
Hg 0.500 0.500 0.000
Os 0.000 0.000 0.000

Summary:
- Crystal system: tetragonal
- DFT formation energy: 0.905 eV per atom
- SG: I4/mmm, No. 139
- Distance to the lowest polymorph of the same formula: 200 meV/atom

***

Entry 16:
First-principles (meta-GGA SCAN) data for Hg3POs at its PBEsol-relaxed geometry, as listed in the Alexandria database.

abc: 4.879 4.879 4.879
angles: 90.00 90.00 90.00
Fractional positions:
P 0.000 0.000 0.000
Os 0.500 0.500 0.500
Hg 0.000 0.500 0.000
Hg 0.000 0.000 0.500
Hg 0.500 0.000 0.000

Summary:
- Crystal system: cubic
- DFT formation energy: 1.529 eV per atom
- SG: Pm-3m, No. 221

***

Entry 17:
First-principles (meta-GGA SCAN) data for HgOs3Pb at its PBEsol-relaxed geometry, as listed in the Alexandria database.

abc: 4.905 4.905 4.905
angles: 90.00 90.00 90.00
Fractional positions:
Pb 0.000 0.000 0.000
Os 0.000 0.500 0.000
Os 0.000 0.000 0.500
Os 0.500 0.000 0.000
Hg 0.500 0.500 0.500

Summary:
- Crystal system: cubic
- DFT formation energy: 3.156 eV per atom
- SG: Pm-3m, No. 221

***

Entry 18:
First-principles (meta-GGA SCAN) data for Ti2HgOsPb at its PBEsol-relaxed geometry, as listed in the Alexandria database.

abc: 4.892 4.984 4.984
angles: 90.00 90.00 90.00
Fractional positions:
Pb 0.000 0.000 0.000
Os 0.500 0.000 0.000
Hg 0.500 0.500 0.500
Ti 0.000 0.000 0.500
Ti 0.000 0.500 0.000

Summary:
- Crystal system: tetragonal
- DFT formation energy: 1.597 eV per atom
- SG: P4/mmm, No. 123

***

Entry 19:
First-principles (meta-GGA SCAN) data for Hg2OsPt at its PBEsol-relaxed geometry, as listed in the Alexandria database.

abc: 4.578 4.578 4.578
angles: 60.00 60.00 60.00
Fractional positions:
Hg 0.250 0.250 0.250
Hg 0.750 0.750 0.750
Os 0.000 0.000 0.000
Pt 0.500 0.500 0.500

Summary:
- Crystal system: cubic
- DFT formation energy: 0.859 eV per atom
- SG: Fm-3m, No. 225
- Distance to the lowest polymorph of the same formula: 350 meV/atom

***

Entry 20:
First-principles (meta-GGA SCAN) data for Hg2OsPt at its PBEsol-relaxed geometry, as listed in the Alexandria database.

abc: 2.874 2.874 8.197
angles: 90.00 90.00 90.00
Fractional positions:
Hg 0.000 0.000 0.750
Hg 0.000 0.000 0.250
Os 0.500 0.500 0.000
Pt 0.500 0.500 0.500

Summary:
- Crystal system: tetragonal
- DFT formation energy: 0.686 eV per atom
- SG: P4/mmm, No. 123
- Distance to the lowest polymorph of the same formula: 177 meV/atom